A relaxed CdPb2W crystal. Source: Alexandria via LeMat-Bulk, functional PBE-GGA.

Summary:
- calculated formation energy (eV/atom) = 0.7563
- calculated volume (Å³ per cell) = 92.2
- density of states at the Fermi level (states/eV per atom) = 0.49
- total magnetic moment (μB/cell) = 0.0

a b c (Å): 3.2308 5.0991 5.8208
angles (deg): 90.00 106.02 90.00
Fractional coordinates of all 4 atoms:
Cd (0.0000, 0.0000, 0.0000)
Pb (0.2679, 0.0000, 0.5340)
Pb (0.5906, 0.5000, 0.1822)
W (0.8622, 0.5000, 0.7250)